i) # Sb2SIBr GGA-PBE relaxed
# * ρ: 5.0 g/cm³
data_Sb2SIBr
_chemical_formula_sum 'Sb2 S1 I1 Br1'
_cell_length_a 5.320
_cell_length_b 5.320
_cell_length_c 5.616
_cell_angle_alpha 90.00
_cell_angle_beta 90.00
_cell_angle_gamma 90.00
_space_group_name_H-M_alt 'P 4/m m m'
_space_group_IT_number 123
_space_group_name_Hall '-P 4 2'
loop_
_atom_site_label
_atom_site_fract_x
_atom_site_fract_y
_atom_site_fract_z
Sb1 0.000 0.500 0.000
S1 0.000 0.000 0.000
I1 0.000 0.000 0.500
Br1 0.500 0.500 0.500


ii) # Sb2SIBr GGA-PBE relaxed
# * ρ: 4.4 g/cm³
data_Sb2SIBr
_chemical_formula_sum 'Sb2 S1 I1 Br1'
_cell_length_a 5.666
_cell_length_b 5.666
_cell_length_c 5.611
_cell_angle_alpha 90.00
_cell_angle_beta 90.00
_cell_angle_gamma 90.00
_space_group_name_H-M_alt 'P 4/m m m'
_space_group_IT_number 123
_space_group_name_Hall '-P 4 2'
loop_
_atom_site_label
_atom_site_fract_x
_atom_site_fract_y
_atom_site_fract_z
Sb1 0.000 0.500 0.000
S1 0.000 0.000 0.500
I1 0.500 0.500 0.500
Br1 0.500 0.500 0.000


iii) # Sb2SIBr GGA-PBE relaxed
# * ρ: 4.5 g/cm³
data_Sb2SIBr
_chemical_formula_sum 'Sb2 S1 I1 Br1'
_cell_length_a 5.886
_cell_length_b 5.886
_cell_length_c 5.155
_cell_angle_alpha 90.00
_cell_angle_beta 90.00
_cell_angle_gamma 90.00
_space_group_name_H-M_alt 'P 4/m m m'
_space_group_IT_number 123
_space_group_name_Hall '-P 4 2'
loop_
_atom_site_label
_atom_site_fract_x
_atom_site_fract_y
_atom_site_fract_z
Sb1 0.000 0.500 0.000
S1 0.000 0.000 0.500
I1 0.000 0.000 0.000
Br1 0.500 0.500 0.500


Quick ranking, most stable first: i), iii), ii).